Entry 1:
Computed, not measured: a relaxed TcN2 crystal at the PBE level of DFT.

The energy relative to the lowest polymorph listed for this composition comes out at 0.0 meV per atom.

The space group is Fd-3m (No. 227, origin choice 2) and the conventional cell measures 8.382, 8.382 and 8.382 Å, with angles of 90.00, 90.00 and 90.00 degrees. Symmetry generates all atoms from Tc at (0.125, 0.125, 0.125) and N at (0.000, 0.000, 0.000).


Entry 2:
Computed, not measured: a relaxed YMgGa2Ir4 crystal at the PBE level of DFT.

As for the total energy: -53.4 eV per cell.

The space group is P4/mmm (No. 123) and the conventional cell measures 4.442, 4.442 and 6.391 Å, with angles of 90.00, 90.00 and 90.00 degrees. Symmetry generates all atoms from Y at (0.000, 0.000, 0.000), Mg at (0.500, 0.500, 0.500), Ga at (0.000, 0.000, 0.500), Ga at (0.500, 0.500, 0.000) and Ir at (0.000, 0.500, 0.268).


Entry 3:
Computed, not measured: a relaxed BaNaTaPt crystal at the PBE level of DFT.

The energy relative to the lowest polymorph listed for this composition comes out at 104.4 meV per atom.

The space group is F-43m (No. 216) and the conventional cell measures 7.290, 7.290 and 7.290 Å, with angles of 90.00, 90.00 and 90.00 degrees. Symmetry generates all atoms from Ba at (0.000, 0.000, 0.000), Na at (0.250, 0.250, 0.750), Ta at (0.000, 0.000, 0.500) and Pt at (0.250, 0.250, 0.250).


Entry 4:
Computed, not measured: a relaxed NdPdNO crystal at the PBE level of DFT.

The energy relative to the lowest polymorph listed for this composition comes out at 408.3 meV per atom.

The space group is P4/nmm (No. 129, origin choice 2) and the conventional cell measures 4.881, 4.881 and 4.669 Å, with angles of 90.00, 90.00 and 90.00 degrees. Symmetry generates all atoms from Nd at (0.250, 0.750, 0.000), Pd at (0.250, 0.250, 0.500), N at (0.250, 0.250, 0.002) and O at (0.250, 0.750, 0.500).


Entry 5:
Computed, not measured: a relaxed NiTe5N crystal at the PBE level of DFT.

As for the total energy: -107.8 eV per cell.

The space group is Cmcm (No. 63) and the conventional cell measures 3.608, 14.885 and 13.463 Å, with angles of 90.00, 90.00 and 90.00 degrees. Symmetry generates all atoms from Ni at (0.000, 0.000, 0.000), Te at (0.000, 0.122, 0.134), Te at (0.000, 0.200, 0.750), Te at (0.000, 0.392, 0.062) and N at (0.000, 0.383, 0.250).


Entry 6:
Computed, not measured: a relaxed YSiNiHg crystal at the PBE level of DFT.

As for the total energy: -72.6 eV per cell.

The space group is F-43m (No. 216) and the conventional cell measures 6.697, 6.697 and 6.697 Å, with angles of 90.00, 90.00 and 90.00 degrees. Symmetry generates all atoms from Y at (0.000, 0.000, 0.000), Si at (0.000, 0.000, 0.500), Ni at (0.250, 0.250, 0.750) and Hg at (0.250, 0.250, 0.250).


Entry 7:
Computed, not measured: a relaxed AcCo3Se crystal at the PBE level of DFT.

As for the total energy: -28.2 eV per cell.

The space group is Pm-3m (No. 221) and the conventional cell measures 4.474, 4.474 and 4.474 Å, with angles of 90.00, 90.00 and 90.00 degrees. Symmetry generates all atoms from Ac at (0.000, 0.000, 0.000), Co at (0.000, 0.500, 0.500) and Se at (0.500, 0.500, 0.500).


Entry 8:
Computed, not measured: a relaxed SmAgB crystal at the PBE level of DFT.

The energy relative to the lowest polymorph listed for this composition comes out at 723.7 meV per atom.

The space group is F-43m (No. 216) and the conventional cell measures 6.515, 6.515 and 6.515 Å, with angles of 90.00, 90.00 and 90.00 degrees. Symmetry generates all atoms from Sm at (0.000, 0.000, 0.000), Ag at (0.250, 0.250, 0.750) and B at (0.250, 0.250, 0.250).


Entry 9:
Computed, not measured: a relaxed Sr3PdPt8 crystal at the PBE level of DFT.

As for the total energy: -200.4 eV per cell.

The space group is R-3m (No. 166, hexagonal axes) and the conventional cell measures 5.5228, 5.5228 and 26.9564 Å, with angles of 90.00, 90.00 and 120.00 degrees. Symmetry generates all atoms from Sr at (0.0000, 0.0000, 0.0000), Sr at (0.0000, 0.0000, 0.1407), Pd at (0.0000, 0.0000, 0.5000), Pt at (0.0000, 0.0000, 0.3324) and Pt at (0.0018, 0.5009, 0.9177).


Entry 10:
Computed, not measured: a relaxed K2Sm crystal at the PBE level of DFT.

The energy relative to the lowest polymorph listed for this composition comes out at 388.4 meV per atom.

The space group is Fm-3m (No. 225) and the conventional cell measures 9.451, 9.451 and 9.451 Å, with angles of 90.00, 90.00 and 90.00 degrees. Symmetry generates all atoms from K at (0.250, 0.250, 0.250) and Sm at (0.000, 0.000, 0.000).


Entry 11:
Computed, not measured: a relaxed PmTaN2O crystal at the PBE level of DFT.

As for the total energy: -382.7 eV per cell.

The space group is P2_1/c (No. 14) and the conventional cell measures 7.919, 8.121 and 11.141 Å, with angles of 90.00, 134.69 and 90.00 degrees. Symmetry generates all atoms from Pm at (0.237, 0.001, 0.493), Pm at (0.240, 0.501, 0.495), Ta at (0.262, 0.750, 0.258), Ta at (0.263, 0.249, 0.255), N at (0.209, 0.000, 0.227), N at (0.217, 0.000, 0.736), N at (0.435, 0.745, 0.999), N at (0.436, 0.249, 0.687), O at (0.077, 0.249, 0.829) and O at (0.077, 0.747, 0.999).


Entry 12:
Computed, not measured: a relaxed ZrBeReBi crystal at the PBE level of DFT.

The energy relative to the lowest polymorph listed for this composition comes out at 55.1 meV per atom.

The space group is F-43m (No. 216) and the conventional cell measures 6.570, 6.570 and 6.570 Å, with angles of 90.00, 90.00 and 90.00 degrees. Symmetry generates all atoms from Zr at (0.000, 0.000, 0.000), Be at (0.250, 0.250, 0.250), Re at (0.000, 0.000, 0.500) and Bi at (0.250, 0.250, 0.750).


Entry 13:
Computed, not measured: a relaxed TbHoGe2Pb2 crystal at the PBE level of DFT.

As for the total energy: -57.5 eV per cell.

The space group is Amm2 (No. 38) and the conventional cell measures 4.097, 4.435 and 16.614 Å, with angles of 90.00, 90.00 and 90.00 degrees. Symmetry generates all atoms from Tb at (0.000, 0.000, 0.000), Ho at (0.500, 0.000, 0.180), Ge at (0.000, 0.000, 0.644), Ge at (0.500, 0.000, 0.538), Pb at (0.000, 0.000, 0.353) and Pb at (0.500, 0.000, 0.826).


Entry 14:
Computed, not measured: a relaxed MgCdGaNi crystal at the PBE level of DFT.

As for the total energy: -45.2 eV per cell.

The space group is F-43m (No. 216) and the conventional cell measures 6.378, 6.378 and 6.378 Å, with angles of 90.00, 90.00 and 90.00 degrees. Symmetry generates all atoms from Mg at (0.000, 0.000, 0.000), Cd at (0.250, 0.250, 0.750), Ga at (0.250, 0.250, 0.250) and Ni at (0.000, 0.000, 0.500).


Entry 15:
Computed, not measured: a relaxed PrNdSn2Hg2 crystal at the PBE level of DFT.

The energy relative to the lowest polymorph listed for this composition comes out at 0.0 meV per atom.

The space group is P6_3/mmc (No. 194) and the conventional cell measures 4.7935, 4.7935 and 16.7673 Å, with angles of 90.00, 90.00 and 120.00 degrees. Symmetry generates all atoms from Pr at (0.0000, 0.0000, 0.0000), Nd at (0.0000, 0.0000, 0.2500), Sn at (0.3333, 0.6667, 0.1071) and Hg at (0.3333, 0.6667, 0.6554).


Entry 16:
Computed, not measured: a relaxed RbLiWS3 crystal at the PBE level of DFT.

As for the total energy: -131.1 eV per cell.

The space group is Cmcm (No. 63) and the conventional cell measures 3.782, 14.418 and 9.473 Å, with angles of 90.00, 90.00 and 90.00 degrees. Symmetry generates all atoms from Rb at (0.000, 0.246, 0.250), Li at (0.000, 0.033, 0.750), W at (0.000, 0.500, 0.000), S at (0.000, 0.109, 0.539) and S at (0.000, 0.444, 0.750).


Entry 17:
Computed, not measured: a relaxed ZnInTc2 crystal at the PBE level of DFT.

As for the total energy: -95.0 eV per cell.

The space group is F-43m (No. 216) and the conventional cell measures 6.326, 6.326 and 6.326 Å, with angles of 90.00, 90.00 and 90.00 degrees. Symmetry generates all atoms from Zn at (0.000, 0.000, 0.000), In at (0.250, 0.250, 0.750), Tc at (0.000, 0.000, 0.500) and Tc at (0.250, 0.250, 0.250).


Entry 18:
Computed, not measured: a relaxed HoErH2Br4 crystal at the PBE level of DFT.

As for the total energy: -34.6 eV per cell.

The space group is P-6m2 (No. 187) and the conventional cell measures 3.8000, 3.8000 and 14.7628 Å, with angles of 90.00, 90.00 and 120.00 degrees. Symmetry generates all atoms from Ho at (0.0000, 0.0000, 0.0000), Er at (0.0000, 0.0000, 0.5000), H at (0.3333, 0.6667, 0.5000), H at (0.6667, 0.3333, 0.0000), Br at (0.3333, 0.6667, 0.1294) and Br at (0.6667, 0.3333, 0.3712).


Entry 19:
Computed, not measured: a relaxed LuNbCoCu crystal at the PBE level of DFT.

For the formation energy, the calculation gives 0.1392 eV/atom. The energy relative to the lowest polymorph listed for this composition comes out at 140.1 meV per atom.

The space group is F-43m (No. 216) and the conventional cell measures 6.278, 6.278 and 6.278 Å, with angles of 90.00, 90.00 and 90.00 degrees. Symmetry generates all atoms from Lu at (0.000, 0.000, 0.000), Nb at (0.250, 0.250, 0.750), Co at (0.000, 0.000, 0.500) and Cu at (0.250, 0.250, 0.250).


Entry 20:
Computed, not measured: a relaxed LaSmTlNi2 crystal at the PBE level of DFT.

As for the total energy: -50.5 eV per cell.

The space group is Amm2 (No. 38) and the conventional cell measures 3.798, 4.013 and 14.799 Å, with angles of 90.00, 90.00 and 90.00 degrees. Symmetry generates all atoms from La at (0.000, 0.000, 0.000), Sm at (0.000, 0.000, 0.277), Tl at (0.500, 0.000, 0.642), Ni at (0.500, 0.000, 0.437) and Ni at (0.500, 0.000, 0.839).